DFT (GGA-PBE) results for Sr2InTc after structural relaxation.

Values from the calculation:
volume: 236.1 Å³/cell
ΔE_f: 11.5 kcal/mol of atoms
DOS(E_F): 1.1543 states/eV per atom

Cell: 7.975 8.020 3.690 Å, 90.00 90.00 90.00°
Space group Cmmm (No. 65)
Unique sites:
Sr1 0.250 0.250 0.000 [4 per cell]
In1 0.000 0.000 0.500 [2 per cell]
Tc1 0.000 0.500 0.500 [2 per cell]